Computed, not measured: a geometry-optimized CaPr4Ho5 structure at the PBE level of DFT.

```
CaPr4Ho5
1.0
8.919 -1.804 0.000
8.919 1.804 0.000
-2.873 0.000 11.320
Ca Pr Ho
1 4 5
Direct
0.000 0.000 0.000
0.189 0.189 0.729
0.481 0.481 0.251
0.519 0.519 0.749
0.811 0.811 0.271
0.000 0.000 0.500
0.330 0.330 0.006
0.336 0.336 0.558
0.664 0.664 0.442
0.670 0.670 0.994
```

Output
Magnetic moment: 0.00 μB per formula unit
Formation enthalpy at 0 K: 24 kJ/mol of atoms
N(E_F): 16.04 states/eV/f.u.

Computed, not measured: a geometry-optimized NpU4Se5 structure at the PBE level of DFT.

```
NpU4Se5
1.0
-1.963 2.875 10.497
1.963 -2.875 10.497
1.963 2.875 -10.497
Np U Se
1 4 5
Direct
0.000 0.000 0.000
0.201 0.201 0.000
0.400 0.400 0.000
0.600 0.600 0.000
0.799 0.799 0.000
0.100 0.600 0.500
0.300 0.800 0.500
0.500 0.000 0.500
0.700 0.200 0.500
0.900 0.400 0.500
```

Output
Magnetic moment: 4.18 μB per formula unit
Raw formation energy: -982 meV per atom
N(E_F): 30.98 states/eV/f.u.

Computed, not measured: a geometry-optimized Cs4Cd2Hg3 structure at the PBE level of DFT.

```
Cs4Cd2Hg3
1.0
10.244 -2.445 0.000
10.244 2.445 0.000
-3.069 0.000 8.649
Cs Cd Hg
4 2 3
Direct
0.073 0.073 0.385
0.263 0.263 0.803
0.737 0.737 0.197
0.927 0.927 0.615
0.086 0.086 0.957
0.914 0.914 0.043
0.395 0.395 0.237
0.500 0.500 0.000
0.605 0.605 0.763
```

Output
Magnetic moment: 0.00 μB per formula unit
Formation enthalpy at 0 K: -14 kJ/mol of atoms
N(E_F): 5.60 states/eV/f.u.

Computed, not measured: a geometry-optimized LiAlIr structure at the PBE level of DFT.

```
LiAlIr
1.0
-1.553 1.553 4.114
1.553 -1.553 4.114
1.553 1.553 -4.114
Li Al Ir
1 1 1
Direct
0.000 0.000 0.000
0.321 0.321 0.000
0.662 0.662 0.000
```

Output
Magnetic moment: 0.00 μB per formula unit
Formation enthalpy at 0 K: -52 kJ/mol of atoms
N(E_F): 0.87 states/eV/f.u.

Which of these has the highest N(E_F)? NpU4Se5

Look up the magnetic moment of the second one. 4.18 μB per formula unit

N(E_F) of number 4 (LiAlIr)? 0.87 states/eV/f.u.